## ScInGa2 (PBE-GGA)

Data for a geometry-optimized ScInGa2 structure.

Calculated values
The theoretical density is 5.91 g cm⁻³. The calculation puts the total energy at -3.9697 eV/atom. For the energy of formation from the pure elements, the calculation gives -0.189 eV per atom.

a = 4.4458 Å, b = 4.4458 Å, c = 14.7380 Å
α = 90.00°, β = 90.00°, γ = 120.00°
Space group R-3m (No. 166, hexagonal axes)
Asymmetric unit:
Sc 0.0000 0.0000 0.0000 [3 per cell]
In 0.0000 0.0000 0.5000 [3 per cell]
Ga 0.0000 0.0000 0.2489 [6 per cell]

***

## Sc5InGa2 (PBE-GGA)

Data for a geometry-optimized Sc5InGa2 structure.

Calculated values
The theoretical density is 4.52 g cm⁻³. The calculation puts the total energy at -5.5406 eV/atom. For the energy of formation from the pure elements, the calculation gives -0.484 eV per atom.

a = 7.305 Å, b = 7.305 Å, c = 13.189 Å
α = 90.00°, β = 90.00°, γ = 90.00°
Space group I4/mcm (No. 140)
Asymmetric unit:
Sc 0.000 0.000 0.000 [4 per cell]
Sc 0.164 0.336 0.144 [16 per cell]
In 0.000 0.000 0.250 [4 per cell]
Ga 0.130 0.370 0.500 [8 per cell]

***

## Sc4In2Ga (PBE-GGA)

Data for a geometry-optimized Sc4In2Ga structure.

Calculated values
The theoretical density is 4.32 g cm⁻³. For the energy above the most stable polymorph in this dataset, the calculation gives 0.1952 eV/atom. The calculation puts the total energy at -4.9239 eV/atom. For the energy of formation from the pure elements, the calculation gives -0.091 eV per atom.

a = 5.033 Å, b = 5.033 Å, c = 14.530 Å
α = 90.00°, β = 90.00°, γ = 90.00°
Space group I4/mmm (No. 139)
Asymmetric unit:
Sc 0.000 0.000 0.180 [4 per cell]
Sc 0.000 0.500 0.000 [4 per cell]
In 0.000 0.000 0.379 [4 per cell]
Ga 0.000 0.000 0.000 [2 per cell]

***

## Sc5InGa6 (PBE-GGA)

Data for a geometry-optimized Sc5InGa6 structure.

Calculated values
The theoretical density is 5.45 g cm⁻³. The calculation puts the total energy at -4.8836 eV/atom. For the energy of formation from the pure elements, the calculation gives -0.504 eV per atom.

a = 4.343 Å, b = 8.057 Å, c = 13.194 Å
α = 90.00°, β = 90.00°, γ = 90.00°
Space group Immm (No. 71)
Asymmetric unit:
Sc 0.000 0.000 0.000 [2 per cell]
Sc 0.000 0.000 0.349 [4 per cell]
Sc 0.000 0.500 0.329 [4 per cell]
In 0.000 0.500 0.000 [2 per cell]
Ga 0.000 0.242 0.174 [8 per cell]
Ga 0.000 0.265 0.500 [4 per cell]

***

## Sc12In3Ga (PBE-GGA)

Data for a geometry-optimized Sc12In3Ga structure.

Calculated values
The theoretical density is 4.37 g cm⁻³. The calculation puts the total energy at -5.7464 eV/atom. For the energy of formation from the pure elements, the calculation gives -0.295 eV per atom.

a = 4.493 Å, b = 4.493 Å, c = 17.941 Å
α = 90.00°, β = 90.00°, γ = 90.00°
Space group P4/mmm (No. 123)
Asymmetric unit:
Sc 0.000 0.000 0.000 [1 per cell]
Sc 0.000 0.000 0.246 [2 per cell]
Sc 0.000 0.000 0.500 [1 per cell]
Sc 0.000 0.500 0.119 [4 per cell]
Sc 0.000 0.500 0.373 [4 per cell]
In 0.500 0.500 0.247 [2 per cell]
In 0.500 0.500 0.500 [1 per cell]
Ga 0.500 0.500 0.000 [1 per cell]

***

## ScInGa (PBE-GGA)

Data for a geometry-optimized ScInGa structure.

Calculated values
The theoretical density is 6.16 g cm⁻³. For the energy above the most stable polymorph in this dataset, the calculation gives 0.0225 eV/atom. The calculation puts the total energy at -4.3987 eV/atom. For the energy of formation from the pure elements, the calculation gives -0.366 eV per atom.

a = 4.6300 Å, b = 4.6300 Å, c = 3.3347 Å
α = 90.00°, β = 90.00°, γ = 120.00°
Space group P3m1 (No. 156)
Asymmetric unit:
Sc 0.0000 0.0000 0.0000 [1 per cell]
In 0.6667 0.3333 0.5321 [1 per cell]
Ga 0.3333 0.6667 0.4238 [1 per cell]

***

## Sc5InGa3 (PBE-GGA)

Data for a geometry-optimized Sc5InGa3 structure.

Calculated values
The theoretical density is 4.91 g cm⁻³. The calculation puts the total energy at -5.3331 eV/atom. For the energy of formation from the pure elements, the calculation gives -0.502 eV per atom.

a = 8.4051 Å, b = 8.4051 Å, c = 6.0699 Å
α = 90.00°, β = 90.00°, γ = 120.00°
Space group P6_3/mcm (No. 193)
Asymmetric unit:
Sc 0.0000 0.3036 0.2500 [6 per cell]
Sc 0.3333 0.6667 0.0000 [4 per cell]
In 0.0000 0.0000 0.0000 [2 per cell]
Ga 0.0000 0.3669 0.7500 [6 per cell]

***

## Sc2InGa2 (PBE-GGA)

Data for a geometry-optimized Sc2InGa2 structure.

Calculated values
The theoretical density is 5.67 g cm⁻³. For the energy above the most stable polymorph in this dataset, the calculation gives 0.0000 eV/atom. The calculation puts the total energy at -4.8407 eV/atom. For the energy of formation from the pure elements, the calculation gives -0.550 eV per atom.

a = 6.988 Å, b = 6.988 Å, c = 4.128 Å
α = 90.00°, β = 90.00°, γ = 90.00°
Space group P4/mbm (No. 127)
Asymmetric unit:
Sc 0.171 0.329 0.000 [4 per cell]
In 0.000 0.000 0.500 [2 per cell]
Ga 0.126 0.626 0.500 [4 per cell]

***

## Sc4InGa3 (PBE-GGA)

Data for a geometry-optimized Sc4InGa3 structure.

Calculated values
The theoretical density is 5.03 g cm⁻³. For the energy above the most stable polymorph in this dataset, the calculation gives 0.0134 eV/atom. The calculation puts the total energy at -5.1558 eV/atom. For the energy of formation from the pure elements, the calculation gives -0.513 eV per atom.

a = 3.678 Å, b = 4.192 Å, c = 10.798 Å
α = 90.00°, β = 90.00°, γ = 90.00°
Space group Pmm2 (No. 25)
Asymmetric unit:
Sc 0.000 0.000 0.000 [1 per cell]
Sc 0.000 0.500 0.287 [1 per cell]
Sc 0.500 0.000 0.482 [1 per cell]
Sc 0.500 0.500 0.802 [1 per cell]
In 0.000 0.000 0.717 [1 per cell]
Ga 0.000 0.500 0.551 [1 per cell]
Ga 0.500 0.000 0.219 [1 per cell]
Ga 0.500 0.500 0.066 [1 per cell]

***

## Sc3InGa4 (PBE-GGA)

Data for a geometry-optimized Sc3InGa4 structure.

Calculated values
The theoretical density is 5.30 g cm⁻³. The calculation puts the total energy at -4.5878 eV/atom. For the energy of formation from the pure elements, the calculation gives -0.358 eV per atom.

a = 3.248 Å, b = 6.154 Å, c = 16.586 Å
α = 90.00°, β = 90.00°, γ = 90.00°
Space group Immm (No. 71)
Asymmetric unit:
Sc 0.000 0.000 0.000 [2 per cell]
Sc 0.000 0.500 0.216 [4 per cell]
In 0.000 0.000 0.500 [2 per cell]
Ga 0.000 0.294 0.371 [8 per cell]

***

## ScInGa3 (PBE-GGA)

Data for a geometry-optimized ScInGa3 structure.

Calculated values
The theoretical density is 4.13 g cm⁻³. For the energy above the most stable polymorph in this dataset, the calculation gives 0.0000 eV/atom. The calculation puts the total energy at -3.1963 eV/atom. For the energy of formation from the pure elements, the calculation gives 0.434 eV per atom.

a = 5.293 Å, b = 5.293 Å, c = 5.293 Å
α = 90.00°, β = 90.00°, γ = 90.00°
Space group Pm-3m (No. 221)
Asymmetric unit:
Sc 0.000 0.000 0.000 [1 per cell]
In 0.500 0.500 0.500 [1 per cell]
Ga 0.000 0.000 0.500 [3 per cell]

***

## ScIn2Ga (PBE-GGA)

Data for a geometry-optimized ScIn2Ga structure.

Calculated values
The theoretical density is 5.63 g cm⁻³. The calculation puts the total energy at -3.5558 eV/atom. For the energy of formation from the pure elements, the calculation gives 0.153 eV per atom.

a = 3.2944 Å, b = 3.2944 Å, c = 32.4170 Å
α = 90.00°, β = 90.00°, γ = 120.00°
Space group R-3m (No. 166, hexagonal axes)
Asymmetric unit:
Sc 0.0000 0.0000 0.0000 [3 per cell]
In 0.0000 0.0000 0.0921 [6 per cell]
Ga 0.0000 0.0000 0.5000 [3 per cell]